Entry 1:
Here is a relaxed CdGaCu crystal from OQMD via LeMat-Bulk. Energies are from GGA-PBE.

Values from the calculation:
For the relative energy among the computed polymorphs, the calculation gives 0.0000 eV per atom. The crystal system is cubic.

Unit cell a=6.117 b=6.117 c=6.117 alpha=90.00 beta=90.00 gamma=90.00
Space group F-43m (No. 216)
Inequivalent atoms, fractional coordinates:
1 Cd 0.000 0.000 0.000 (multiplicity 4)
2 Ga 0.250 0.250 0.250 (multiplicity 4)
3 Cu 0.000 0.000 0.500 (multiplicity 4)

---

Entry 2:
Here is a relaxed Gd3Cd3GaCu2 crystal from OQMD via LeMat-Bulk. Energies are from GGA-PBE.

Values from the calculation:
The value obtained for the total energy is -3.356 eV per atom. The calculation puts the magnetization at 0.012 μB per cell. The crystal system is hexagonal.

Unit cell a=7.3811 b=7.3811 c=4.1930 alpha=90.00 beta=90.00 gamma=120.00
Space group P-62m (No. 189)
Inequivalent atoms, fractional coordinates:
1 Gd 0.0000 0.5832 0.0000 (multiplicity 3)
2 Cd 0.0000 0.2542 0.5000 (multiplicity 3)
3 Ga 0.0000 0.0000 0.0000 (multiplicity 1)
4 Cu 0.3333 0.6667 0.5000 (multiplicity 2)

---

Entry 3:
Here is a relaxed Gd3Cd3Ga2Cu crystal from OQMD via LeMat-Bulk. Energies are from GGA-PBE.

Values from the calculation:
The value obtained for the total energy is -3.418 eV per atom. The calculation puts the magnetization at 0.013 μB per cell. The crystal system is hexagonal.

Unit cell a=7.3050 b=7.3050 c=4.3327 alpha=90.00 beta=90.00 gamma=120.00
Space group P-62m (No. 189)
Inequivalent atoms, fractional coordinates:
1 Gd 0.0000 0.5888 0.0000 (multiplicity 3)
2 Cd 0.0000 0.2432 0.5000 (multiplicity 3)
3 Ga 0.3333 0.6667 0.5000 (multiplicity 2)
4 Cu 0.0000 0.0000 0.0000 (multiplicity 1)

---

Entry 4:
Here is a relaxed Pr2GdCd3Ga2Cu crystal from OQMD via LeMat-Bulk. Energies are from GGA-PBE.

Values from the calculation:
The value obtained for the total energy is -3.426 eV per atom. The calculation puts the magnetization at 0.003 μB per cell. The crystal system is orthorhombic.

Unit cell a=4.381 b=12.890 c=7.478 alpha=90.00 beta=90.00 gamma=90.00
Space group Amm2 (No. 38)
Inequivalent atoms, fractional coordinates:
1 Pr 0.000 0.204 0.000 (multiplicity 4)
2 Gd 0.000 0.000 0.386 (multiplicity 2)
3 Cd 0.500 0.000 0.040 (multiplicity 2)
4 Cd 0.500 0.121 0.672 (multiplicity 4)
5 Ga 0.500 0.164 0.296 (multiplicity 4)
6 Cu 0.000 0.000 0.789 (multiplicity 2)

---

Entry 5:
Here is a relaxed Gd2YCd3Ga2Cu crystal from OQMD via LeMat-Bulk. Energies are from GGA-PBE.

Values from the calculation:
The value obtained for the total energy is -3.624 eV per atom. The calculation puts the magnetization at 0.003 μB per cell. The crystal system is orthorhombic.

Unit cell a=4.275 b=12.668 c=7.331 alpha=90.00 beta=90.00 gamma=90.00
Space group Amm2 (No. 38)
Inequivalent atoms, fractional coordinates:
1 Gd 0.000 0.205 0.000 (multiplicity 4)
2 Y 0.000 0.000 0.384 (multiplicity 2)
3 Cd 0.500 0.000 0.040 (multiplicity 2)
4 Cd 0.500 0.122 0.672 (multiplicity 4)
5 Ga 0.500 0.166 0.295 (multiplicity 4)
6 Cu 0.000 0.000 0.794 (multiplicity 2)

---

Entry 6:
Here is a relaxed GdY2Cd3Ga2Cu crystal from OQMD via LeMat-Bulk. Energies are from GGA-PBE.

Values from the calculation:
The value obtained for the total energy is -3.830 eV per atom. The calculation puts the magnetization at 0.004 μB per cell. The crystal system is orthorhombic.

Unit cell a=4.291 b=12.663 c=7.299 alpha=90.00 beta=90.00 gamma=90.00
Space group Amm2 (No. 38)
Inequivalent atoms, fractional coordinates:
1 Gd 0.000 0.000 0.000 (multiplicity 2)
2 Y 0.000 0.206 0.617 (multiplicity 4)
3 Cd 0.500 0.000 0.655 (multiplicity 2)
4 Cd 0.500 0.122 0.290 (multiplicity 4)
5 Ga 0.500 0.167 0.911 (multiplicity 4)
6 Cu 0.000 0.000 0.412 (multiplicity 2)

---

Entry 7:
Here is a relaxed HfCdGaCu crystal from OQMD via LeMat-Bulk. Energies are from GGA-PBE.

Values from the calculation:
For the relative energy among the computed polymorphs, the calculation gives 0.0000 eV per atom. The calculation puts the magnetization at 0.003 μB per cell. The crystal system is cubic.

Unit cell a=6.557 b=6.557 c=6.557 alpha=90.00 beta=90.00 gamma=90.00
Space group F-43m (No. 216)
Inequivalent atoms, fractional coordinates:
1 Hf 0.000 0.000 0.000 (multiplicity 4)
2 Cd 0.250 0.250 0.750 (multiplicity 4)
3 Ga 0.250 0.250 0.250 (multiplicity 4)
4 Cu 0.000 0.000 0.500 (multiplicity 4)

---

Entry 8:
Here is a relaxed HfCdGaCu crystal from OQMD via LeMat-Bulk. Energies are from GGA-PBE.

Values from the calculation:
For the relative energy among the computed polymorphs, the calculation gives 0.0702 eV per atom. The calculation puts the magnetization at 0.002 μB per cell. The crystal system is cubic.

Unit cell a=6.555 b=6.555 c=6.555 alpha=90.00 beta=90.00 gamma=90.00
Space group F-43m (No. 216)
Inequivalent atoms, fractional coordinates:
1 Hf 0.000 0.000 0.000 (multiplicity 4)
2 Cd 0.250 0.250 0.250 (multiplicity 4)
3 Ga 0.000 0.000 0.500 (multiplicity 4)
4 Cu 0.250 0.250 0.750 (multiplicity 4)

---

Entry 9:
Here is a relaxed CdGaCuHg crystal from OQMD via LeMat-Bulk. Energies are from GGA-PBE.

Values from the calculation:
For the relative energy among the computed polymorphs, the calculation gives 0.0000 eV per atom. The crystal system is cubic.

Unit cell a=6.768 b=6.768 c=6.768 alpha=90.00 beta=90.00 gamma=90.00
Space group F-43m (No. 216)
Inequivalent atoms, fractional coordinates:
1 Cd 0.000 0.000 0.000 (multiplicity 4)
2 Ga 0.250 0.250 0.250 (multiplicity 4)
3 Cu 0.000 0.000 0.500 (multiplicity 4)
4 Hg 0.250 0.250 0.750 (multiplicity 4)

---

Entry 10:
Here is a relaxed CdGaCuIr crystal from OQMD via LeMat-Bulk. Energies are from GGA-PBE.

Values from the calculation:
For the relative energy among the computed polymorphs, the calculation gives 0.0000 eV per atom. The calculation puts the magnetization at 0.001 μB per cell. The crystal system is cubic.

Unit cell a=6.279 b=6.279 c=6.279 alpha=90.00 beta=90.00 gamma=90.00
Space group F-43m (No. 216)
Inequivalent atoms, fractional coordinates:
1 Cd 0.000 0.000 0.000 (multiplicity 4)
2 Ga 0.000 0.000 0.500 (multiplicity 4)
3 Cu 0.250 0.250 0.750 (multiplicity 4)
4 Ir 0.250 0.250 0.250 (multiplicity 4)

---

Entry 11:
Here is a relaxed Li4CdGa2Cu crystal from OQMD via LeMat-Bulk. Energies are from GGA-PBE.

Values from the calculation:
The value obtained for the total energy is -2.560 eV per atom. The crystal system is tetragonal.

Unit cell a=4.335 b=4.335 c=6.216 alpha=90.00 beta=90.00 gamma=90.00
Space group P-4m2 (No. 115)
Inequivalent atoms, fractional coordinates:
1 Li 0.000 0.000 0.000 (multiplicity 1)
2 Li 0.000 0.500 0.731 (multiplicity 2)
3 Li 0.500 0.500 0.500 (multiplicity 1)
4 Cd 0.500 0.500 0.000 (multiplicity 1)
5 Ga 0.000 0.500 0.280 (multiplicity 2)
6 Cu 0.000 0.000 0.500 (multiplicity 1)

---

Entry 12:
Here is a relaxed Li2Mg2CdGaCu2 crystal from OQMD via LeMat-Bulk. Energies are from GGA-PBE.

Values from the calculation:
The value obtained for the total energy is -2.484 eV per atom. The crystal system is tetragonal.

Unit cell a=4.435 b=4.435 c=6.315 alpha=90.00 beta=90.00 gamma=90.00
Space group P-4m2 (No. 115)
Inequivalent atoms, fractional coordinates:
1 Li 0.000 0.500 0.239 (multiplicity 2)
2 Mg 0.000 0.000 0.000 (multiplicity 1)
3 Mg 0.500 0.500 0.500 (multiplicity 1)
4 Cd 0.000 0.000 0.500 (multiplicity 1)
5 Ga 0.500 0.500 0.000 (multiplicity 1)
6 Cu 0.000 0.500 0.767 (multiplicity 2)

---

Entry 13:
Here is a relaxed Li2Cd2Ga2CuNi crystal from OQMD via LeMat-Bulk. Energies are from GGA-PBE.

Values from the calculation:
The value obtained for the total energy is -2.825 eV per atom. The calculation puts the magnetization at 0.001 μB per cell. The crystal system is tetragonal.

Unit cell a=4.353 b=4.353 c=6.180 alpha=90.00 beta=90.00 gamma=90.00
Space group P-4m2 (No. 115)
Inequivalent atoms, fractional coordinates:
1 Li 0.000 0.000 0.000 (multiplicity 1)
2 Li 0.500 0.500 0.500 (multiplicity 1)
3 Cd 0.000 0.500 0.246 (multiplicity 2)
4 Ga 0.000 0.500 0.761 (multiplicity 2)
5 Cu 0.000 0.000 0.500 (multiplicity 1)
6 Ni 0.500 0.500 0.000 (multiplicity 1)